A plane-wave DFT calculation with PBE was carried out for a relaxed BaGa2Cu4 crystal.

**ΔE to the lowest computed polymorph**: 0 meV per atom
**ΔH_f (0 K)**: -0.1577 eV per atom
**Volume**: 495.2 Å³/cell

```
data_BaGa2Cu4
_chemical_formula_sum 'Ba4 Ga8 Cu16'
_cell_length_a 8.100
_cell_length_b 8.100
_cell_length_c 7.547
_cell_angle_alpha 90.00
_cell_angle_beta 90.00
_cell_angle_gamma 90.00
_space_group_name_H-M_alt 'I 4/m c m'
_space_group_IT_number 140
_space_group_name_Hall '-I 4 2c'
loop_
_atom_site_label
_atom_site_type_symbol
_atom_site_fract_x
_atom_site_fract_y
_atom_site_fract_z
Ba1 Ba 0.000 0.000 0.250
Ga1 Ga 0.159 0.341 0.000
Cu1 Cu 0.135 0.365 0.339
```

***

A plane-wave DFT calculation with PBE was carried out for a relaxed Ba3Ga4Cu2 crystal.

**ΔE to the lowest computed polymorph**: 0 meV per atom
**ΔH_f (0 K)**: -0.3077 eV per atom
**Volume**: 506.4 Å³/cell

```
data_Ba3Ga4Cu2
_chemical_formula_sum 'Ba6 Ga8 Cu4'
_cell_length_a 4.4161
_cell_length_b 4.4161
_cell_length_c 29.9836
_cell_angle_alpha 90.00
_cell_angle_beta 90.00
_cell_angle_gamma 120.00
_space_group_name_H-M_alt 'P 3 m 1'
_space_group_IT_number 156
_space_group_name_Hall 'P 3 -2"'
loop_
_atom_site_label
_atom_site_type_symbol
_atom_site_fract_x
_atom_site_fract_y
_atom_site_fract_z
Ba1 Ba 0.0000 0.0000 0.0000
Ba2 Ba 0.0000 0.0000 0.1509
Ba3 Ba 0.0000 0.0000 0.3234
Ba4 Ba 0.0000 0.0000 0.4880
Ba5 Ba 0.0000 0.0000 0.6623
Ba6 Ba 0.0000 0.0000 0.8274
Ga1 Ga 0.3333 0.6667 0.2365
Ga2 Ga 0.3333 0.6667 0.4054
Ga3 Ga 0.3333 0.6667 0.5751
Ga4 Ga 0.3333 0.6667 0.7452
Ga5 Ga 0.3333 0.6667 0.9143
Ga6 Ga 0.6667 0.3333 0.2353
Ga7 Ga 0.6667 0.3333 0.5751
Ga8 Ga 0.6667 0.3333 0.9157
Cu1 Cu 0.3333 0.6667 0.0754
Cu2 Cu 0.6667 0.3333 0.0754
Cu3 Cu 0.6667 0.3333 0.4056
Cu4 Cu 0.6667 0.3333 0.7449
```

***

A plane-wave DFT calculation with PBE was carried out for a relaxed BaGa2Cu3 crystal.

**ΔH_f (0 K)**: -0.1988 eV per atom
**Volume**: 480.2 Å³/cell

```
data_BaGa2Cu3
_chemical_formula_sum 'Ba4 Ga8 Cu12'
_cell_length_a 16.076
_cell_length_b 4.296
_cell_length_c 7.605
_cell_angle_alpha 90.00
_cell_angle_beta 113.90
_cell_angle_gamma 90.00
_space_group_name_H-M_alt 'C 1 2/m 1'
_space_group_IT_number 12
_space_group_name_Hall '-C 2y'
loop_
_atom_site_label
_atom_site_type_symbol
_atom_site_fract_x
_atom_site_fract_y
_atom_site_fract_z
Ba1 Ba 0.157 0.000 0.089
Ga1 Ga 0.026 0.500 0.214
Ga2 Ga 0.161 0.000 0.604
Cu1 Cu 0.002 0.000 0.660
Cu2 Cu 0.085 0.500 0.622
Cu3 Cu 0.196 0.500 0.459
```

***

A plane-wave DFT calculation with PBE was carried out for a relaxed BaGa2Cu5 crystal.

**ΔH_f (0 K)**: -0.0494 eV per atom
**Volume**: 284.9 Å³/cell

```
data_BaGa2Cu5
_chemical_formula_sum 'Ba2 Ga4 Cu10'
_cell_length_a 4.129
_cell_length_b 6.794
_cell_length_c 10.155
_cell_angle_alpha 90.00
_cell_angle_beta 90.00
_cell_angle_gamma 90.00
_space_group_name_H-M_alt 'I m m m'
_space_group_IT_number 71
_space_group_name_Hall '-I 2 2'
loop_
_atom_site_label
_atom_site_type_symbol
_atom_site_fract_x
_atom_site_fract_y
_atom_site_fract_z
Ba1 Ba 0.000 0.000 0.000
Ga1 Ga 0.000 0.500 0.240
Cu1 Cu 0.000 0.177 0.366
Cu2 Cu 0.000 0.500 0.000
```

***

A plane-wave DFT calculation with PBE was carried out for a relaxed BaGa3Cu3 crystal.

**ΔE to the lowest computed polymorph**: 35 meV per atom
**ΔH_f (0 K)**: -0.0580 eV per atom
**Volume**: 313.4 Å³/cell

```
data_BaGa3Cu3
_chemical_formula_sum 'Ba2 Ga6 Cu6'
_cell_length_a 6.792
_cell_length_b 6.792
_cell_length_c 6.792
_cell_angle_alpha 90.00
_cell_angle_beta 90.00
_cell_angle_gamma 90.00
_space_group_name_H-M_alt 'P m -3 n'
_space_group_IT_number 223
_space_group_name_Hall '-P 4n 2 3'
loop_
_atom_site_label
_atom_site_type_symbol
_atom_site_fract_x
_atom_site_fract_y
_atom_site_fract_z
Ba1 Ba 0.000 0.000 0.000
Ga1 Ga 0.000 0.250 0.500
Cu1 Cu 0.000 0.500 0.250
```

***

A plane-wave DFT calculation with PBE was carried out for a relaxed Ba2GaCu crystal.

**ΔH_f (0 K)**: 0.2998 eV per atom
**Volume**: 547.9 Å³/cell

```
data_Ba2GaCu
_chemical_formula_sum 'Ba6 Ga3 Cu3'
_cell_length_a 4.4722
_cell_length_b 4.4722
_cell_length_c 31.6310
_cell_angle_alpha 90.00
_cell_angle_beta 90.00
_cell_angle_gamma 120.00
_space_group_name_H-M_alt 'R -3 m'
_space_group_IT_number 166
_space_group_name_Hall '-R 3 2"'
loop_
_atom_site_label
_atom_site_type_symbol
_atom_site_fract_x
_atom_site_fract_y
_atom_site_fract_z
Ba1 Ba 0.0000 0.0000 0.1077
Ga1 Ga 0.0000 0.0000 0.0000
Cu1 Cu 0.0000 0.0000 0.5000
```

***

A plane-wave DFT calculation with PBE was carried out for a relaxed Ba2GaCu crystal.

**ΔH_f (0 K)**: -0.2265 eV per atom
**Volume**: 311.5 Å³/cell

```
data_Ba2GaCu
_chemical_formula_sum 'Ba4 Ga2 Cu2'
_cell_length_a 7.943
_cell_length_b 4.582
_cell_length_c 8.947
_cell_angle_alpha 90.00
_cell_angle_beta 106.94
_cell_angle_gamma 90.00
_space_group_name_H-M_alt 'C 1 m 1'
_space_group_IT_number 8
_space_group_name_Hall 'C -2y'
loop_
_atom_site_label
_atom_site_type_symbol
_atom_site_fract_x
_atom_site_fract_y
_atom_site_fract_z
Ba1 Ba 0.000 0.000 0.000
Ba2 Ba 0.162 0.000 0.492
Ga1 Ga 0.414 0.000 0.246
Cu1 Cu 0.247 0.500 0.246
```

***

A plane-wave DFT calculation with PBE was carried out for a relaxed Ba2GaCu crystal.

**ΔH_f (0 K)**: -0.1105 eV per atom
**Volume**: 132.5 Å³/cell

```
data_Ba2GaCu
_chemical_formula_sum 'Ba2 Ga1 Cu1'
_cell_length_a 5.783
_cell_length_b 5.783
_cell_length_c 3.960
_cell_angle_alpha 90.00
_cell_angle_beta 90.00
_cell_angle_gamma 90.00
_space_group_name_H-M_alt 'P 4/m m m'
_space_group_IT_number 123
_space_group_name_Hall '-P 4 2'
loop_
_atom_site_label
_atom_site_type_symbol
_atom_site_fract_x
_atom_site_fract_y
_atom_site_fract_z
Ba1 Ba 0.000 0.500 0.000
Ga1 Ga 0.000 0.000 0.500
Cu1 Cu 0.500 0.500 0.500
```